(1)
This record from the Alexandria database describes a relaxed Na5LiTl8 crystal. The functional is GGA-PBE.

Summary:
E_form: -0.08 eV per atom
Crystal system: tetragonal
M_tot: 0.00 μB/atom

The structure in extended XYZ format:
```
14
Lattice="-3.979 -6.330 2.945 3.795 -1.889 -6.827 5.219 2.224 5.691" Properties=species:S:1:pos:R:3 pbc="T T T"
Tl 1.380 -3.349 -1.861
Tl 5.231 -1.167 -1.236
Tl 1.949 -1.243 0.830
Tl -0.179 -4.882 3.158
Tl 7.457 0.280 0.763
Tl 5.599 -3.708 1.115
Tl 3.640 -2.593 3.557
Tl 4.264 1.234 3.657
Na -0.844 -2.982 0.600
Na 1.097 -6.685 -1.440
Na 2.402 -4.439 1.031
Na -1.783 -6.440 0.681
Na 0.620 -2.053 4.318
Li 4.817 -0.859 1.591
```

(2)
This record from the Alexandria database describes a relaxed NaLi2Tl crystal. The functional is GGA-PBE.

Summary:
E_form: -0.15 eV per atom
Crystal system: cubic
M_tot: 0.00 μB/atom
E above lowest polymorph: 0.00 kcal/mol of atoms

The structure in extended XYZ format:
```
4
Lattice="-1.602 -3.896 -2.649 -4.683 -1.601 0.513 -3.277 0.674 -3.683" Properties=species:S:1:pos:R:3 pbc="T T T"
Na 0.000 0.000 0.000
Li -2.390 -1.206 -1.455
Li -7.171 -3.617 -4.364
Tl -4.781 -2.412 -2.909
```